SrTlCo2Cl8: relaxed, PBE-GGA.

It has space group R-3 (No. 148, hexagonal axes), with a = 6.5878 Å, b = 6.5878 Å, c = 28.4030 Å, α = 90.00°, β = 90.00° and γ = 120.00°. The distinct sites, in fractional coordinates, are Sr at (0.0000, 0.0000, 0.0000), Tl at (0.0000, 0.0000, 0.5000), Co at (0.0000, 0.0000, 0.2464), Cl at (0.0000, 0.0000, 0.1700) and Cl at (0.0011, 0.3605, 0.9386).

The formation energy without anion corrections comes out at -1.098 eV/atom. Its size of the total moment is 7.00 μB/f.u. The crystal system is trigonal.